# 1
DFT (GGA-PBEsol) results for Mn2CoAs after structural relaxation.

Output
total magnetization: 1.05 μB/atom
energy: -32.65 eV/cell

Unit cell a=3.5309 b=3.5309 c=3.6662 alpha=90.00 beta=90.00 gamma=90.00
Space group P4/mmm (No. 123)
Asymmetric unit:
Mn 0.0000 0.5000 0.0000
Co 0.0000 0.0000 0.5000
As 0.5000 0.5000 0.5000

# 2
DFT (GGA-PBEsol) results for KSe after structural relaxation.

Output
total magnetization: 0.12 μB/atom
formation energy without anion corrections: -0.8206 eV per atom
energy: -39.75 eV/cell

Unit cell a=9.1207 b=5.2619 c=8.5877 alpha=90.00 beta=110.77 gamma=90.00
Space group Cm (No. 8)
Asymmetric unit:
K 0.0000 0.0000 0.0000
K 0.0430 0.5000 0.6307
K 0.2712 0.5000 0.3152
Se 0.1610 0.0000 0.4866
Se 0.2730 0.0000 0.8154
Se 0.3807 0.0000 0.1439